A geometry-optimized NdHgAu structure. Source: Alexandria via LeMat-Bulk, functional PBE.

Structure (POSCAR):
```
NdHgAu
1.0
5.521 0.000 0.000
0.000 5.610 0.000
-2.755 0.000 4.818
Nd Hg Au
2 2 2
Cartesian
0.558 1.402 1.283
2.207 4.207 3.535
2.197 4.207 0.339
0.568 1.402 4.479
-0.590 4.207 1.944
3.355 1.402 2.875
```

Results
The calculated total energy comes out at -10.10 eV/f.u. The calculation puts the formation energy at -0.583 eV per atom. As for the space-group type: P2_1/m. The magnetization is 0.000 μB per formula unit.